Here is crystalline Re2OsAu at its relaxed geometry from Alexandria. Energies are from PBE.

```
data_Re2OsAu
_cell_length_a 9.345
_cell_length_b 9.345
_cell_length_c 9.345
_cell_angle_alpha 17.16
_cell_angle_beta 17.16
_cell_angle_gamma 17.16
_symmetry_space_group_name_H-M 'P 1'
_symmetry_Int_Tables_number 1
_symmetry_space_group_name_Hall 'P 1'
loop_
_atom_site_label
_atom_site_fract_x
_atom_site_fract_y
_atom_site_fract_z
Au1 0.250 0.250 0.250
Os1 0.750 0.750 0.750
Re1 0.005 0.005 0.005
Re2 0.495 0.495 0.495
```

The energy relative to the elements is 0.28 eV/atom. Its space group is R-3m, No. 166.

***

Here is crystalline VSb2Ir at its relaxed geometry from Alexandria. Energies are from PBE.

```
data_VSb2Ir
_cell_length_a 4.666
_cell_length_b 4.666
_cell_length_c 4.666
_cell_angle_alpha 60.00
_cell_angle_beta 60.00
_cell_angle_gamma 60.00
_symmetry_space_group_name_H-M 'P 1'
_symmetry_Int_Tables_number 1
_symmetry_space_group_name_Hall 'P 1'
loop_
_atom_site_label
_atom_site_fract_x
_atom_site_fract_y
_atom_site_fract_z
Sb1 0.250 0.250 0.250
Sb2 0.750 0.750 0.750
Ir1 0.500 0.500 0.500
V1 0.000 0.000 0.000
```

The value obtained for the uncorrected formation energy is 17.1 kJ/mol of atoms. Its space group is Fm-3m, No. 225.

***

Here is crystalline HWS2 at its relaxed geometry from Alexandria. Energies are from PBE.

```
data_HWS2
_cell_length_a 5.114
_cell_length_b 5.114
_cell_length_c 5.805
_cell_angle_alpha 63.86
_cell_angle_beta 63.86
_cell_angle_gamma 90.00
_symmetry_space_group_name_H-M 'P 1'
_symmetry_Int_Tables_number 1
_symmetry_space_group_name_Hall 'P 1'
loop_
_atom_site_label
_atom_site_fract_x
_atom_site_fract_y
_atom_site_fract_z
H1 0.500 0.500 0.000
H2 0.250 0.750 0.500
S1 0.572 0.125 0.250
S2 0.178 0.625 0.250
S3 0.375 0.428 0.750
S4 0.875 0.822 0.750
W1 0.000 0.000 0.000
W2 0.750 0.250 0.500
```

Its space group is I-42d, No. 122.

***

Here is crystalline Na2HfZr at its relaxed geometry from Alexandria. Energies are from PBE.

```
data_Na2HfZr
_cell_length_a 5.139
_cell_length_b 5.139
_cell_length_c 5.139
_cell_angle_alpha 60.00
_cell_angle_beta 60.00
_cell_angle_gamma 60.00
_symmetry_space_group_name_H-M 'P 1'
_symmetry_Int_Tables_number 1
_symmetry_space_group_name_Hall 'P 1'
loop_
_atom_site_label
_atom_site_fract_x
_atom_site_fract_y
_atom_site_fract_z
Na1 0.250 0.250 0.250
Na2 0.750 0.750 0.750
Hf1 0.500 0.500 0.500
Zr1 0.000 0.000 0.000
```

The energy relative to the elements is 1.01 eV/atom. Its space group is Fm-3m, No. 225.

***

Uncorrected energy (eV/atom)
-9.5746, -6.3787, -5.8341, -4.2741
ΔE to the lowest computed polymorph (eV per atom)
0.025, 0.000, 0.472, 0.000
Density of states at the Fermi level (states/eV per atom)
1.31, 0.54, 0.36, 1.21